A geometry-optimized Pu3Sb2As structure. Source: Alexandria via LeMat-Bulk, functional GGA-PBE.

Cell lengths 9.384, 9.384, 5.596 Å; angles 107.01, 107.01, 126.44 degrees
Atoms (fractional coordinates):
Pu1 0.000 0.500 0.000
Pu2 0.160 0.316 0.491
Pu3 0.316 0.160 0.991
Pu4 0.500 0.000 0.500
Pu5 0.684 0.840 0.009
Pu6 0.840 0.684 0.509
Sb1 0.251 0.749 0.750
Sb2 0.416 0.584 0.250
Sb3 0.584 0.416 0.750
Sb4 0.749 0.251 0.250
As1 0.085 0.915 0.250
As2 0.915 0.085 0.750

Properties
* relative energy among the computed polymorphs: 0 meV per atom
* space-group type: C2/c (15)
* formation energy (no corrections): -0.6205 eV/atom

***

A geometry-optimized V2FeCoRh2 structure. Source: Alexandria via LeMat-Bulk, functional GGA-PBE.

Cell lengths 7.135, 7.135, 7.135 Å; angles 138.29, 59.95, 138.95 degrees
Atoms (fractional coordinates):
V1 0.125 0.220 0.345
V2 0.375 0.720 0.095
V3 0.625 0.280 0.905
V4 0.875 0.780 0.655
Fe1 0.250 0.250 0.000
Fe2 0.750 0.750 0.000
Co1 0.250 0.750 0.500
Co2 0.750 0.250 0.500
Rh1 0.175 0.702 0.877
Rh2 0.325 0.202 0.527
Rh3 0.675 0.798 0.473
Rh4 0.825 0.298 0.123

Properties
* energy of formation: -0.07 eV per atom
* space-group type: Ibam (72)

***

A geometry-optimized La2MgCu3Ni12 structure. Source: Alexandria via LeMat-Bulk, functional GGA-PBE.

Cell lengths 6.348, 6.348, 6.348 Å; angles 83.50, 83.50, 83.50 degrees
Atoms (fractional coordinates):
La1 0.201 0.201 0.201
La2 0.799 0.799 0.799
Mg1 0.500 0.500 0.500
Cu1 0.000 0.500 0.500
Cu2 0.500 0.000 0.500
Cu3 0.500 0.500 0.000
Ni1 0.092 0.092 0.638
Ni2 0.092 0.638 0.092
Ni3 0.216 0.699 0.699
Ni4 0.301 0.301 0.784
Ni5 0.301 0.784 0.301
Ni6 0.362 0.908 0.908
Ni7 0.638 0.092 0.092
Ni8 0.699 0.216 0.699
Ni9 0.699 0.699 0.216
Ni10 0.784 0.301 0.301
Ni11 0.908 0.362 0.908
Ni12 0.908 0.908 0.362

Properties
* energy of formation: 0.05 eV per atom
* space-group type: R-3m (166)

***

A geometry-optimized ScTlCuAu structure. Source: Alexandria via LeMat-Bulk, functional GGA-PBE.

Cell lengths 4.744, 4.744, 4.744 Å; angles 60.00, 60.00, 60.00 degrees
Atoms (fractional coordinates):
Sc1 0.000 0.000 0.000
Tl1 0.500 0.500 0.500
Cu1 0.250 0.250 0.250
Au1 0.750 0.750 0.750

Properties
* energy of formation: -0.27 eV per atom
* space-group type: F-43m (216)

***

A geometry-optimized MoW5 structure. Source: Alexandria via LeMat-Bulk, functional GGA-PBE.

Cell lengths 5.280, 5.280, 6.368 Å; angles 107.79, 107.79, 35.08 degrees
Atoms (fractional coordinates):
Mo1 0.000 0.000 0.000
W1 0.000 0.000 0.500
W2 0.333 0.333 0.166
W3 0.333 0.333 0.667
W4 0.667 0.667 0.333
W5 0.667 0.667 0.834

Properties
* energy of formation: -0.01 eV per atom
* relative energy among the computed polymorphs: 9 meV per atom
* space-group type: C2/m (12)

***

A geometry-optimized ReTc2Sb structure. Source: Alexandria via LeMat-Bulk, functional GGA-PBE.

Cell lengths 4.858, 4.858, 4.858 Å; angles 131.07, 131.07, 71.71 degrees
Atoms (fractional coordinates):
Re1 0.000 0.000 0.000
Tc1 0.250 0.750 0.500
Tc2 0.750 0.250 0.500
Sb1 0.500 0.500 0.000

Properties
* space-group type: I4/mmm (139)
* formation energy (no corrections): 0.3598 eV/atom

***

A geometry-optimized TbNbC structure. Source: Alexandria via LeMat-Bulk, functional GGA-PBE.

Cell lengths 3.310, 3.310, 5.572 Å; angles 90.00, 90.00, 120.00 degrees
Atoms (fractional coordinates):
Tb1 0.000 0.000 0.000
Nb1 0.333 0.667 0.476
C1 0.667 0.333 0.286

Properties
* energy of formation: -0.21 eV per atom
* space-group type: P3m1 (156)

***

A geometry-optimized CaThSnPd structure. Source: Alexandria via LeMat-Bulk, functional GGA-PBE.

Cell lengths 5.283, 5.283, 5.283 Å; angles 60.00, 60.00, 60.00 degrees
Atoms (fractional coordinates):
Ca1 0.000 0.000 0.000
Th1 0.500 0.500 0.500
Sn1 0.250 0.250 0.250
Pd1 0.750 0.750 0.750

Properties
* energy of formation: -0.57 eV per atom
* space-group type: F-43m (216)

***

Repeat the fifth record exactly.
A geometry-optimized MoW5 structure. Source: Alexandria via LeMat-Bulk, functional GGA-PBE.

Cell lengths 5.280, 5.280, 6.368 Å; angles 107.79, 107.79, 35.08 degrees
Atoms (fractional coordinates):
Mo1 0.000 0.000 0.000
W1 0.000 0.000 0.500
W2 0.333 0.333 0.166
W3 0.333 0.333 0.667
W4 0.667 0.667 0.333
W5 0.667 0.667 0.834

Properties
* energy of formation: -0.01 eV per atom
* relative energy among the computed polymorphs: 9 meV per atom
* space-group type: C2/m (12)